--- i ---
# CuAg2Sb (SCAN, single point on PBEsol structure)
# Magnetic moment (μB/atom): 0.000
data_CuAg2Sb
_space_group_name_H-M_alt 'P 1'
_space_group_IT_number 1
_space_group_name_Hall 'P 1'
_cell_length_a 4.637
_cell_length_b 4.637
_cell_length_c 4.637
_cell_angle_alpha 60.00
_cell_angle_beta 60.00
_cell_angle_gamma 60.00
loop_
_atom_site_label
_atom_site_type_symbol
_atom_site_fract_x
_atom_site_fract_y
_atom_site_fract_z
_atom_site_occupancy
Sb1 Sb 0.500 0.500 0.500 1
Ag1 Ag 0.250 0.250 0.250 1
Cu1 Cu 0.000 0.000 0.000 1
Ag2 Ag 0.750 0.750 0.750 1

=====

--- ii ---
# CuAg2Sb (SCAN, single point on PBEsol structure)
# Magnetic moment (μB/atom): 0.000
data_CuAg2Sb
_space_group_name_H-M_alt 'P 1'
_space_group_IT_number 1
_space_group_name_Hall 'P 1'
_cell_length_a 4.019
_cell_length_b 4.016
_cell_length_c 4.247
_cell_angle_alpha 90.00
_cell_angle_beta 90.00
_cell_angle_gamma 90.00
loop_
_atom_site_label
_atom_site_type_symbol
_atom_site_fract_x
_atom_site_fract_y
_atom_site_fract_z
_atom_site_occupancy
Ag1 Ag 0.500 0.500 0.000 1
Cu1 Cu 0.500 0.000 0.500 1
Sb1 Sb 0.000 0.500 0.500 1
Ag2 Ag 0.000 0.000 0.000 1

=====

--- iii ---
# CuAg2Sb (SCAN, single point on PBEsol structure)
# Magnetic moment (μB/atom): 0.000
data_CuAg2Sb
_space_group_name_H-M_alt 'P 1'
_space_group_IT_number 1
_space_group_name_Hall 'P 1'
_cell_length_a 3.035
_cell_length_b 4.805
_cell_length_c 5.617
_cell_angle_alpha 114.78
_cell_angle_beta 104.87
_cell_angle_gamma 91.82
loop_
_atom_site_label
_atom_site_type_symbol
_atom_site_fract_x
_atom_site_fract_y
_atom_site_fract_z
_atom_site_occupancy
Sb1 Sb 0.500 0.000 0.000 1
Ag1 Ag 0.000 0.000 0.500 1
Ag2 Ag 0.500 0.500 0.500 1
Cu1 Cu 0.000 0.500 0.000 1

=====

In kJ/mol of atoms, relative to the most stable structure: i 12.2; ii 0.0; iii 10.7.